# 1
This record from Alexandria describes crystalline NaCaFeS2 at its relaxed geometry. The functional is PBE-GGA.

Cell: 4.7530 4.7530 4.6991 Å, 90.00 90.00 90.00°
Last column: nearest neighbours and their distance in Å.
Fractional positions:
1 Na 0.0000 0.0000 0.0000  8 S 3.34, 4 Ca 3.36
2 Ca 0.5000 0.5000 0.0000  2 Fe 2.35
3 Fe 0.5000 0.5000 0.5000  2 Ca 2.35, 4 S 2.38
4 S 0.0000 0.5000 0.5000  2 Fe 2.38
5 S 0.5000 0.0000 0.5000  2 Fe 2.38

Computed properties:
As for the formation energy (no corrections): -279 meV per atom.

=====

# 2
This record from Alexandria describes crystalline NaCa2FeSi at its relaxed geometry. The functional is PBE-GGA.

Cell: 5.4788 5.4788 4.6543 Å, 90.00 90.00 90.00°
Last column: nearest neighbours and their distance in Å.
Fractional positions:
1 Na 0.0000 0.0000 0.0000  2 Fe 2.33
2 Ca 0.0000 0.5000 0.0000  2 Na 2.74
3 Ca 0.5000 0.0000 0.0000  2 Na 2.74
4 Fe 0.0000 0.0000 0.5000  2 Na 2.33
5 Si 0.5000 0.5000 0.5000  8 Ca 3.59, 4 Fe 3.87

Computed properties:
As for the formation energy (no corrections): 1059 meV per atom.

=====

# 3
This record from Alexandria describes crystalline NaCa2TiFe at its relaxed geometry. The functional is PBE-GGA.

Cell: 6.0435 6.0435 4.1095 Å, 90.00 90.00 90.00°
Last column: nearest neighbours and their distance in Å.
Fractional positions:
1 Na 0.0000 0.0000 0.0000  8 Ca 3.65
2 Ca 0.0000 0.5000 0.5000  2 Ti 3.02
3 Ca 0.5000 0.0000 0.5000  2 Ti 3.02
4 Ti 0.5000 0.5000 0.5000  2 Fe 2.05
5 Fe 0.5000 0.5000 0.0000  2 Ti 2.05

Computed properties:
The value obtained for the energy relative to the elements is 3.2 eV/f.u.

=====

# 4
This record from Alexandria describes crystalline NaCaTiFe2 at its relaxed geometry. The functional is PBE-GGA.

Cell: 4.5032 4.5032 5.6375 Å, 90.00 90.00 90.00°
Last column: nearest neighbours and their distance in Å.
Fractional positions:
1 Na 0.0000 0.0000 0.0000  4 Ca 3.18
2 Ca 0.5000 0.5000 0.0000  2 Ti 2.82
3 Ti 0.5000 0.5000 0.5000  4 Fe 2.25
4 Fe 0.0000 0.5000 0.5000  2 Ti 2.25
5 Fe 0.5000 0.0000 0.5000  2 Ti 2.25

Computed properties:
The value obtained for the energy relative to the elements is 4.6 eV/f.u.

=====

For reference, ρ by record: 2.863, 2.224, 2.288, 3.234 g cm⁻³.